# NaCaTiCl6 (PBE-GGA, relaxed)
# E	-4.3653	eV/atom
# raw formation energy	-1888	meV/atom
# crystal system	trigonal
data_NaCaTiCl6
_chemical_formula_sum 'Na2 Ca2 Ti2 Cl12'
_cell_length_a 6.7214
_cell_length_b 6.7214
_cell_length_c 12.2864
_cell_angle_alpha 90.00
_cell_angle_beta 90.00
_cell_angle_gamma 120.00
_space_group_name_H-M_alt 'P 1'
_space_group_IT_number 1
loop_
_space_group_symop_operation_xyz
'x,y,z'
loop_
_atom_site_label
_atom_site_fract_x
_atom_site_fract_y
_atom_site_fract_z
Na1 0.0000 0.0000 0.0000
Na2 0.0000 0.0000 0.5000
Ca1 0.3333 0.6667 0.2500
Ca2 0.6667 0.3333 0.7500
Ti1 0.3333 0.6667 0.7500
Ti2 0.6667 0.3333 0.2500
Cl1 0.0341 0.3726 0.6346
Cl2 0.0341 0.6615 0.8654
Cl3 0.3385 0.3726 0.8654
Cl4 0.3385 0.9659 0.6346
Cl5 0.3726 0.0341 0.1346
Cl6 0.3726 0.3385 0.3654
Cl7 0.6274 0.6615 0.6346
Cl8 0.6274 0.9659 0.8654
Cl9 0.6615 0.0341 0.3654
Cl10 0.6615 0.6274 0.1346
Cl11 0.9659 0.3385 0.1346
Cl12 0.9659 0.6274 0.3654


# SiMo2Cl (PBE-GGA, relaxed)
# E	-6.8426	eV/atom
# raw formation energy	390	meV/atom
# energy above the most stable polymorph in this dataset	1.58	eV per formula unit
# crystal system	orthorhombic
data_SiMo2Cl
_chemical_formula_sum 'Si1 Mo2 Cl1'
_cell_length_a 5.4976
_cell_length_b 5.4976
_cell_length_c 5.4976
_cell_angle_alpha 149.11
_cell_angle_beta 133.70
_cell_angle_gamma 56.70
_space_group_name_H-M_alt 'P 1'
_space_group_IT_number 1
loop_
_space_group_symop_operation_xyz
'x,y,z'
loop_
_atom_site_label
_atom_site_fract_x
_atom_site_fract_y
_atom_site_fract_z
Si1 0.0000 0.0000 0.0000
Mo1 0.4975 0.4975 0.0000
Mo2 0.7730 0.2730 0.5000
Cl1 0.2813 0.7813 0.5000